(1)
Crystalline KCuRe2 at its relaxed geometry, computed with GGA-PBE.

extended XYZ file:
```
4
Lattice="3.065 0.000 0.000 0.000 3.065 0.000 0.000 0.000 8.515" Properties=species:S:1:pos:R:3 pbc="T T T"
Cu 0.000 0.000 3.697
K 1.533 1.533 6.264
Re 0.000 0.000 0.731
Re 1.533 1.533 2.080
```

Output
* space-group type: No. 99
* E: -27.3 eV/f.u.
* DFT formation energy: 0.6878 eV/atom
* N(E_F): 0.742 states/eV per atom
* E above lowest polymorph: 0 meV per atom


(2)
Crystalline KCuRe at its relaxed geometry, computed with GGA-PBE.

extended XYZ file:
```
3
Lattice="-6.290 -4.580 -1.305 -4.164 -6.600 1.154 4.319 6.419 1.542" Properties=species:S:1:pos:R:3 pbc="T T T"
Cu -0.241 -0.258 -0.003
K -3.479 -3.721 -0.050
Re -6.733 -7.201 -0.097
```

Output
* space-group type: No. 107
* E: -14.7 eV/f.u.
* DFT formation energy: 0.9908 eV/atom
* N(E_F): 1.383 states/eV per atom
* E above lowest polymorph: 45 meV per atom


(3)
Crystalline KCuRe2 at its relaxed geometry, computed with GGA-PBE.

extended XYZ file:
```
4
Lattice="5.896 -0.007 0.000 -3.528 4.724 0.000 0.000 0.000 2.548" Properties=species:S:1:pos:R:3 pbc="T T T"
Cu 2.948 -0.003 1.274
K -1.764 2.362 1.274
Re 0.000 0.000 0.000
Re 1.184 2.358 0.000
```

Output
* space-group type: No. 65
* E: -24.7 eV/f.u.
* DFT formation energy: 1.3520 eV/atom
* N(E_F): 0.963 states/eV per atom
* E above lowest polymorph: 664 meV per atom


(4)
Crystalline KCuRe at its relaxed geometry, computed with GGA-PBE.

extended XYZ file:
```
3
Lattice="-5.663 3.406 -0.439 -6.291 -1.303 -1.609 5.673 -0.478 3.383" Properties=species:S:1:pos:R:3 pbc="T T T"
Cu -11.322 1.991 -1.940
K -7.942 1.397 -1.361
Re -4.644 0.817 -0.796
```

Output
* space-group type: No. 44
* E: -14.8 eV/f.u.
* DFT formation energy: 0.9454 eV/atom
* N(E_F): 0.802 states/eV per atom
* E above lowest polymorph: 0 meV per atom


(5)
Crystalline KCuRe2 at its relaxed geometry, computed with GGA-PBE.

extended XYZ file:
```
4
Lattice="6.225 0.011 0.023 5.676 2.556 0.023 1.830 0.395 4.415" Properties=species:S:1:pos:R:3 pbc="T T T"
Cu 3.433 0.741 1.115
K 10.298 2.222 3.346
Re 11.534 2.488 0.205
Re 7.233 1.560 2.071
```

Output
* space-group type: No. 71
* E: -26.6 eV/f.u.
* DFT formation energy: 0.8655 eV/atom
* N(E_F): 0.780 states/eV per atom
* E above lowest polymorph: 178 meV per atom


(6)
Crystalline KCuRe2 at its relaxed geometry, computed with GGA-PBE.

extended XYZ file:
```
4
Lattice="3.256 0.000 0.000 0.000 3.256 0.000 0.000 0.000 7.896" Properties=species:S:1:pos:R:3 pbc="T T T"
Cu 1.628 1.628 1.974
K 1.628 1.628 5.922
Re 0.000 0.000 0.838
Re 0.000 0.000 3.110
```

Output
* space-group type: No. 123
* E: -25.3 eV/f.u.
* DFT formation energy: 1.1859 eV/atom
* N(E_F): 1.167 states/eV per atom
* E above lowest polymorph: 498 meV per atom


(7)
Crystalline KCuRe2 at its relaxed geometry, computed with GGA-PBE.

extended XYZ file:
```
4
Lattice="-3.221 3.073 0.920 -3.164 -2.821 -1.642 2.811 -1.401 3.286" Properties=species:S:1:pos:R:3 pbc="T T T"
Cu -3.192 0.126 -0.361
K -1.801 0.899 1.923
Re 0.000 0.000 0.000
Re -1.772 -2.048 0.642
```

Output
* space-group type: No. 216
* E: -24.4 eV/f.u.
* DFT formation energy: 1.4160 eV/atom
* N(E_F): 0.769 states/eV per atom
* E above lowest polymorph: 728 meV per atom


(8)
Crystalline KCuRe at its relaxed geometry, computed with GGA-PBE.

extended XYZ file:
```
3
Lattice="4.966 0.000 0.000 2.483 4.301 0.000 2.483 1.434 4.055" Properties=species:S:1:pos:R:3 pbc="T T T"
Cu 4.966 2.867 2.027
K 7.449 4.301 3.041
Re 0.000 0.000 0.000
```

Output
* space-group type: No. 216
* E: -9.6 eV/f.u.
* DFT formation energy: 2.6966 eV/atom
* N(E_F): 1.174 states/eV per atom
* E above lowest polymorph: 1751 meV per atom


(9)
Crystalline KCuRe2 at its relaxed geometry, computed with GGA-PBE.

extended XYZ file:
```
4
Lattice="-1.496 2.710 4.398 -2.532 -0.480 -0.566 -0.171 -4.275 2.576" Properties=species:S:1:pos:R:3 pbc="T T T"
Cu -1.424 0.166 2.701
K -2.776 -2.211 3.706
Re -0.351 -4.299 2.530
Re -1.172 -2.353 1.051
```

Output
* space-group type: No. 10
* E: -25.2 eV/f.u.
* DFT formation energy: 1.2299 eV/atom
* N(E_F): 1.035 states/eV per atom
* E above lowest polymorph: 542 meV per atom


(10)
Crystalline KCuRe at its relaxed geometry, computed with GGA-PBE.

extended XYZ file:
```
3
Lattice="4.680 0.000 0.000 2.340 4.053 0.000 2.340 1.351 3.821" Properties=species:S:1:pos:R:3 pbc="T T T"
Cu 7.020 4.053 2.866
K 0.000 0.000 0.000
Re 4.680 2.702 1.911
```

Output
* space-group type: No. 216
* E: -11.6 eV/f.u.
* DFT formation energy: 2.0188 eV/atom
* N(E_F): 1.141 states/eV per atom
* E above lowest polymorph: 1073 meV per atom


(11)
Crystalline KCuRe2 at its relaxed geometry, computed with GGA-PBE.

extended XYZ file:
```
4
Lattice="2.644 -0.034 0.000 -0.821 2.513 0.000 0.000 0.000 10.310" Properties=species:S:1:pos:R:3 pbc="T T T"
Cu 0.912 1.240 2.578
K 0.912 1.240 7.733
Re 0.000 0.000 0.440
Re 0.000 0.000 4.716
```

Output
* space-group type: No. 65
* E: -26.4 eV/f.u.
* DFT formation energy: 0.9305 eV/atom
* N(E_F): 0.817 states/eV per atom
* E above lowest polymorph: 243 meV per atom


(12)
Crystalline KCuRe2 at its relaxed geometry, computed with GGA-PBE.

extended XYZ file:
```
4
Lattice="10.511 -0.025 -0.015 10.157 2.708 -0.015 10.157 1.318 2.366" Properties=species:S:1:pos:R:3 pbc="T T T"
Cu 7.706 1.000 0.584
K 23.119 3.001 1.752
Re 30.385 3.944 2.303
Re 15.852 2.058 1.201
```

Output
* space-group type: No. 166
* E: -26.2 eV/f.u.
* DFT formation energy: 0.9696 eV/atom
* N(E_F): 1.310 states/eV per atom
* E above lowest polymorph: 282 meV per atom


> Number 1 is which compound?

KCuRe2


> Look up the E above lowest polymorph of the fourth one.

0 meV per atom


> Which formula does entry 2 have?

KCuRe


Please write out number 3 again, unchanged.
Crystalline KCuRe2 at its relaxed geometry, computed with GGA-PBE.

extended XYZ file:
```
4
Lattice="5.896 -0.007 0.000 -3.528 4.724 0.000 0.000 0.000 2.548" Properties=species:S:1:pos:R:3 pbc="T T T"
Cu 2.948 -0.003 1.274
K -1.764 2.362 1.274
Re 0.000 0.000 0.000
Re 1.184 2.358 0.000
```

Output
* space-group type: No. 65
* E: -24.7 eV/f.u.
* DFT formation energy: 1.3520 eV/atom
* N(E_F): 0.963 states/eV per atom
* E above lowest polymorph: 664 meV per atom